1.
DFT (GGA-PBE) results for a relaxed structure of Li2NbReO6.

Magnetization: 0.801 μB per cell
Energy relative to the elements, uncorrected: -2.01 eV/atom
SG: No. 99

Unit cell a=3.899 b=5.633 c=5.633 alpha=90.00 beta=90.00 gamma=90.00
Each line ends with the local moment (μB).
Fractional positions:
Re 0.712 0.000 0.000  0.53
O 0.719 0.754 0.754  0.03
O 0.215 0.000 0.000  0.01
O 0.719 0.246 0.246  0.03
O 0.719 0.754 0.246  0.03
O 0.201 0.500 0.500  0.02
O 0.719 0.246 0.754  0.03
Li 0.878 0.500 0.000  0.00
Li 0.878 0.000 0.500  0.00
Nb 0.685 0.500 0.500  0.04

2.
DFT (GGA-PBE) results for a relaxed structure of LiNbReO6.

Magnetization: 2.067 μB per cell
Energy relative to the elements, uncorrected: -1.90 eV/atom
SG: No. 163

Unit cell a=5.243 b=5.243 c=9.413 alpha=90.00 beta=90.00 gamma=120.00
Each line ends with the local moment (μB).
Fractional positions:
O 0.630 0.988 0.362  0.01
O 0.630 0.643 0.138  0.01
O 0.012 0.370 0.138  0.01
O 0.988 0.357 0.638  0.01
O 0.370 0.012 0.638  0.01
O 0.012 0.643 0.362  0.01
O 0.357 0.988 0.138  0.01
O 0.988 0.630 0.862  0.01
O 0.357 0.370 0.362  0.01
O 0.370 0.357 0.862  0.01
O 0.643 0.012 0.862  0.01
O 0.643 0.630 0.638  0.01
Nb 0.667 0.333 0.250  0.17
Nb 0.333 0.667 0.750  0.17
Re 0.667 0.333 0.750  0.74
Re 0.333 0.667 0.250  0.74
Li 0.000 0.000 0.000  0.00
Li 0.000 0.000 0.500  0.00

3.
DFT (GGA-PBE) results for a relaxed structure of LiNbRh2O6.

Magnetization: 0.000 μB per cell
Energy relative to the elements, uncorrected: -1.53 eV/atom
SG: No. 146

Unit cell a=5.138 b=5.138 c=5.661 alpha=63.01 beta=63.01 gamma=59.99
Fractional positions:
Nb 0.316 0.316 0.054
O 0.917 0.602 0.231
O 0.417 0.717 0.750
O 0.250 0.917 0.231
O 0.718 0.116 0.750
O 0.116 0.417 0.750
O 0.602 0.250 0.231
Li 0.805 0.805 0.586
Rh 0.012 0.012 0.963
Rh 0.511 0.511 0.468

4.
DFT (GGA-PBE) results for a relaxed structure of Li2NbRh2O6.

Magnetization: 0.979 μB per cell
Energy relative to the elements, uncorrected: -1.48 eV/atom
SG: No. 12

Unit cell a=5.321 b=5.321 c=5.389 alpha=99.78 beta=99.78 gamma=122.19
Each line ends with the local moment (μB).
Fractional positions:
Rh 0.661 0.339 0.500  0.19
Rh 0.339 0.661 0.500  0.19
O 0.056 0.404 0.724  0.01
O 0.766 0.766 0.741  0.01
O 0.404 0.056 0.724  0.01
O 0.234 0.234 0.259  0.01
O 0.596 0.944 0.276  0.01
O 0.944 0.596 0.276  0.01
Nb 0.000 0.000 0.500  0.45
Li 0.177 0.823 0.000  0.00
Li 0.823 0.177 0.000  0.00